Record 1
A relaxed structure of ZnH2W. Source: Alexandria, functional PBE.

a b c (Å): 5.0759 5.0759 5.0759
angles (deg): 129.25 129.25 74.61
Fractional positions:
Zn1 0.0000 0.0000 0.0000
Zn2 0.7500 0.2500 0.5000
H1 0.1344 0.6250 0.0094
H2 0.3750 0.3844 0.5094
H3 0.6156 0.1250 0.9906
H4 0.8750 0.8656 0.4906
W1 0.2500 0.7500 0.5000
W2 0.5000 0.5000 0.0000

Computed properties:
As for the total energy: -0.351 Ry/atom. The density of states at the Fermi level comes out at 0.477 states/eV/f.u. Its total magnetic moment is 0.0 μB per cell. The calculation puts the volume at 9.55 Å³/atom. Its space-group type is I-42d (122). Its crystal system is tetragonal.

Record 2
A relaxed structure of Zn3HW. Source: Alexandria, functional PBE.

a b c (Å): 5.1210 5.1210 5.1210
angles (deg): 90.00 90.00 90.00
Fractional positions:
Zn1 0.0000 0.0000 0.5000
Zn2 0.0000 0.5000 0.0000
Zn3 0.5000 0.0000 0.0000
H1 0.5000 0.5000 0.5000
W1 0.0000 0.0000 0.0000

Computed properties:
As for the total energy: -0.179 Ry/atom. The density of states at the Fermi level comes out at 3.246 states/eV/f.u. Its total magnetic moment is 3.9 μB per cell. The calculation puts the volume at 26.86 Å³/atom. Its space-group type is Pm-3m (221). Its crystal system is cubic.

Record 3
A relaxed structure of ZrH2W2. Source: Alexandria, functional PBE.

a b c (Å): 5.6679 5.6679 5.6679
angles (deg): 145.10 145.10 50.18
Fractional positions:
Zr1 0.0000 0.0000 0.0000
H1 0.2500 0.7500 0.5000
H2 0.7500 0.2500 0.5000
W1 0.3348 0.3348 0.0000
W2 0.6652 0.6652 0.0000

Computed properties:
As for the total energy: -0.596 Ry/atom. The density of states at the Fermi level comes out at 0.842 states/eV/f.u. Its total magnetic moment is 0.0 μB per cell. The calculation puts the volume at 11.86 Å³/atom. Its space-group type is I4/mmm (139). Its crystal system is tetragonal.